Entry 1:
Below is a relaxed structure of Sm3Si5S12, with properties calculated at the PBE level.

a b c (Å): 13.037 13.037 13.037
angles (deg): 109.47 109.47 109.47
Atoms (fractional coordinates):
1 Sm 0.375 0.750 0.625
2 S 0.188 0.090 0.712
3 Si 0.500 0.000 0.000
4 Sm 0.750 0.375 0.125
5 S 0.288 0.410 0.812
6 Si 0.125 0.375 0.250
7 Sm 0.375 0.625 0.250
8 S 0.378 0.402 0.090
9 S 0.524 0.312 0.902
10 S 0.524 0.212 0.122
11 Si 0.750 0.625 0.375
12 S 0.024 0.402 0.812
13 S 0.212 0.688 0.090
14 S 0.098 0.910 0.122
15 S 0.788 0.312 0.910
16 S 0.098 0.188 0.476
17 Sm 0.625 0.250 0.375
18 Si 0.000 0.500 0.500
19 Si 0.750 0.125 0.875
20 S 0.476 0.688 0.098
21 Si 0.625 0.875 0.250
22 S 0.688 0.212 0.590
23 S 0.122 0.410 0.098
24 S 0.902 0.090 0.878
25 S 0.688 0.476 0.598
26 S 0.410 0.288 0.312
27 Si 0.250 0.375 0.625
28 S 0.378 0.976 0.788
29 Sm 0.250 0.125 0.375
30 Si 0.500 0.500 0.000
31 S 0.976 0.598 0.188
32 Si 0.500 0.000 0.500
33 Sm 0.125 0.250 0.875
34 S 0.878 0.288 0.476
35 Si 0.375 0.250 0.125
36 S 0.598 0.976 0.688
37 S 0.090 0.188 0.212
38 Si 0.125 0.750 0.375
39 S 0.090 0.902 0.378
40 S 0.788 0.476 0.378
41 S 0.312 0.788 0.410
42 Si 0.000 0.500 0.000
43 S 0.402 0.378 0.590
44 Si 0.000 0.000 0.000
45 S 0.122 0.712 0.524
46 S 0.212 0.524 0.622
47 Sm 0.875 0.125 0.250
48 S 0.712 0.590 0.188
49 Sm 0.125 0.875 0.750
50 Sm 0.625 0.375 0.750
51 S 0.712 0.122 0.024
52 Sm 0.250 0.625 0.875
53 S 0.902 0.812 0.524
54 Si 0.375 0.125 0.750
55 Si 0.000 0.000 0.500
56 Sm 0.750 0.875 0.625
57 S 0.188 0.098 0.976
58 S 0.024 0.622 0.712
59 S 0.288 0.878 0.976
60 S 0.910 0.098 0.622
61 Sm 0.875 0.750 0.125
62 Si 0.875 0.250 0.625
63 S 0.976 0.378 0.288
64 S 0.590 0.712 0.688
65 S 0.476 0.788 0.878
66 S 0.812 0.910 0.288
67 Si 0.500 0.500 0.500
68 S 0.410 0.122 0.598
69 S 0.812 0.902 0.024
70 Si 0.875 0.625 0.750
71 S 0.598 0.622 0.410
72 S 0.910 0.812 0.788
73 S 0.590 0.878 0.402
74 Si 0.625 0.750 0.875
75 S 0.312 0.524 0.402
76 Si 0.250 0.875 0.125
77 S 0.878 0.590 0.902
78 S 0.402 0.024 0.312
79 S 0.622 0.024 0.212
80 S 0.622 0.598 0.910

Output
- energy relative to the elements, uncorrected (eV/atom) = -0.977
- crystal system = cubic
- size of the total moment (μB/atom) = 0.00
- V (A^3/atom) = 21.32
- space group = Ia-3d, No. 230
- final energy (eV per atom) = -5.517
- density (g cm⁻³) = 3.8

Entry 2:
Below is a relaxed structure of Sm2SiS5, with properties calculated at the PBE level.

a b c (Å): 6.697 6.697 6.278
angles (deg): 122.23 122.23 90.00
Atoms (fractional coordinates):
1 Sm 0.725 0.225 0.450
2 S 0.263 0.804 0.067
3 S 0.804 0.804 0.067
4 Sm 0.225 0.725 0.450
5 S 0.721 0.721 0.442
6 S 0.263 0.263 0.067
7 S 0.804 0.263 0.067
8 Si 0.973 0.973 0.945

Output
- energy relative to the elements, uncorrected (eV/atom) = -1.226
- crystal system = tetragonal
- size of the total moment (μB/atom) = 0.00
- V (A^3/atom) = 23.11
- space group = I4mm, No. 107
- final energy (eV per atom) = -5.663
- density (g cm⁻³) = 4.4

Entry 3:
Below is a relaxed structure of Sm6SiS4, with properties calculated at the PBE level.

a b c (Å): 4.042 6.869 20.303
angles (deg): 90.00 90.00 107.11
Atoms (fractional coordinates):
1 Sm 0.674 0.348 0.750
2 Sm 0.226 0.453 0.915
3 Sm 0.051 0.101 0.165
4 Sm 0.500 0.000 0.500
5 Sm 0.774 0.547 0.085
6 S 0.590 0.180 0.875
7 S 0.410 0.820 0.375
8 Sm 0.226 0.453 0.585
9 Sm 0.949 0.899 0.835
10 S 0.590 0.180 0.625
11 Si 0.665 0.330 0.250
12 Si 0.335 0.670 0.750
13 S 0.410 0.820 0.125
14 S 0.138 0.275 0.041
15 Sm 0.774 0.547 0.415
16 Sm 0.949 0.899 0.665
17 S 0.862 0.725 0.959
18 Sm 0.500 0.000 0.000
19 S 0.862 0.725 0.541
20 Sm 0.326 0.652 0.250
21 Sm 0.051 0.101 0.335
22 S 0.138 0.275 0.459

Output
- energy relative to the elements, uncorrected (eV/atom) = -1.618
- crystal system = orthorhombic
- size of the total moment (μB/atom) = 0.00
- V (A^3/atom) = 24.48
- space group = Cmcm, No. 63
- final energy (eV per atom) = -6.186
- density (g cm⁻³) = 6.5

Entry 4:
Below is a relaxed structure of Sm4SiS3, with properties calculated at the PBE level.

a b c (Å): 5.745 5.745 5.745
angles (deg): 90.00 90.00 90.00
Atoms (fractional coordinates):
1 S 0.500 0.000 0.500
2 Sm 0.500 0.000 0.000
3 Sm 0.000 0.000 0.500
4 Sm 0.500 0.500 0.500
5 S 0.500 0.500 0.000
6 Sm 0.000 0.500 0.000
7 Si 0.000 0.000 0.000
8 S 0.000 0.500 0.500

Output
- energy relative to the elements, uncorrected (eV/atom) = -1.752
- crystal system = cubic
- size of the total moment (μB/atom) = 0.00
- V (A^3/atom) = 23.71
- space group = Pm-3m, No. 221
- final energy (eV per atom) = -6.338
- density (g cm⁻³) = 6.4

Entry 5:
Below is a relaxed structure of Sm6SiS12, with properties calculated at the PBE level.

a b c (Å): 7.818 7.818 7.818
angles (deg): 98.85 98.85 98.85
Atoms (fractional coordinates):
1 S 0.701 0.943 0.023
2 S 0.023 0.701 0.943
3 S 0.299 0.057 0.977
4 Sm 0.291 0.133 0.630
5 S 0.443 0.580 0.180
6 Si 0.000 0.000 0.000
7 Sm 0.630 0.291 0.133
8 Sm 0.867 0.370 0.709
9 Sm 0.133 0.630 0.291
10 S 0.057 0.977 0.299
11 Sm 0.709 0.867 0.370
12 S 0.820 0.557 0.420
13 S 0.180 0.443 0.580
14 S 0.557 0.420 0.820
15 Sm 0.370 0.709 0.867
16 S 0.977 0.299 0.057
17 S 0.420 0.820 0.557
18 S 0.580 0.180 0.443
19 S 0.943 0.023 0.701

Output
- energy relative to the elements, uncorrected (eV/atom) = -1.593
- crystal system = trigonal
- size of the total moment (μB/atom) = 0.01
- V (A^3/atom) = 24.15
- space group = R-3, No. 148
- final energy (eV per atom) = -5.975
- density (g cm⁻³) = 4.8

Entry 6:
Below is a relaxed structure of Sm5SiS4, with properties calculated at the PBE level.

a b c (Å): 5.724 7.036 7.036
angles (deg): 80.48 66.00 66.00
Atoms (fractional coordinates):
1 S 0.400 0.402 0.800
2 Si 0.001 0.000 0.000
3 Sm 0.501 0.000 0.000
4 Sm 0.299 0.800 0.603
5 S 0.602 0.598 0.200
6 Sm 0.703 0.200 0.397
7 Sm 0.100 0.603 0.200
8 Sm 0.902 0.397 0.800
9 S 0.802 0.800 0.598
10 S 0.200 0.200 0.402

Output
- energy relative to the elements, uncorrected (eV/atom) = -1.806
- crystal system = tetragonal
- size of the total moment (μB/atom) = 0.00
- V (A^3/atom) = 23.65
- space group = I4/m, No. 87
- final energy (eV per atom) = -6.359
- density (g cm⁻³) = 6.4